Density functional theory data (PBE) for crystalline Y2AlGa4Cu3 at its relaxed geometry.

Lattice parameters (Å, degrees): 4.092 4.092 10.532 90.00 90.00 90.00
Fractional coordinates of all 10 atoms:
Cu 0.000 0.500 0.131
Cu 0.500 0.000 0.869
Cu 0.000 0.000 0.500
Y 0.000 0.500 0.756
Y 0.500 0.000 0.244
Ga 0.500 0.500 0.000
Ga 0.000 0.000 0.000
Ga 0.500 0.000 0.644
Ga 0.000 0.500 0.356
Al 0.500 0.500 0.500

Properties
- Crystal system: tetragonal
- Magnetic moment: 0.0 μB per formula unit
- Formation enthalpy at 0 K: -0.476 eV per atom
- Calculated volume: 17.6 Å³/atom